B2Mo2Pd (PBE-GGA, optimized geometry); ΔE_f = -1.4 eV/f.u.; space group = P4/mbm (127); crystal system = tetragonal; M_tot = 0.00 Bohr magnetons per cell; electronic total energy = -8.3167 eV per atom
1.0
5.905 0.000 0.000
0.000 5.905 0.000
0.000 0.000 3.271
B Mo Pd
4 4 2
direct
0.108 0.392 0.000
0.392 0.892 0.000
0.608 0.108 0.000
0.892 0.608 0.000
0.172 0.672 0.500
0.328 0.172 0.500
0.672 0.828 0.500
0.828 0.328 0.500
0.000 0.000 0.000
0.500 0.500 0.000